Record 1
NdGdMgCd | PBE-GGA | optimized geometry

Calculated values
space group = F-43m (216)
DFT total energy = -22.24 eV/f.u.
DFT formation energy = -0.22 eV/atom

a b c (Å): 5.420 5.420 5.420
angles (deg): 60.00 60.00 60.00
Sites, in units of the cell vectors:
Nd 0.000 0.000 0.000
Gd 0.500 0.500 0.500
Mg 0.250 0.250 0.250
Cd 0.750 0.750 0.750


Record 2
GdMgCdPd | PBE-GGA | optimized geometry

Calculated values
space group = F-43m (216)
DFT total energy = -23.70 eV/f.u.
DFT formation energy = -0.48 eV/atom

a b c (Å): 4.971 4.971 4.971
angles (deg): 60.00 60.00 60.00
Sites, in units of the cell vectors:
Gd 0.000 0.000 0.000
Mg 0.500 0.500 0.500
Cd 0.250 0.250 0.250
Pd 0.750 0.750 0.750


Record 3
PmGdMgCd | PBE-GGA | optimized geometry

Calculated values
space group = F-43m (216)
DFT total energy = -22.22 eV/f.u.
DFT formation energy = -0.22 eV/atom

a b c (Å): 5.402 5.402 5.402
angles (deg): 60.00 60.00 60.00
Sites, in units of the cell vectors:
Pm 0.000 0.000 0.000
Gd 0.500 0.500 0.500
Mg 0.250 0.250 0.250
Cd 0.750 0.750 0.750


Record 4
GdPuMgCd | PBE-GGA | optimized geometry

Calculated values
space group = F-43m (216)
DFT total energy = -30.98 eV/f.u.
DFT formation energy = -0.01 eV/atom

a b c (Å): 5.353 5.353 5.353
angles (deg): 60.00 60.00 60.00
Sites, in units of the cell vectors:
Gd 0.000 0.000 0.000
Pu 0.500 0.500 0.500
Mg 0.250 0.250 0.250
Cd 0.750 0.750 0.750


Record 5
GdMgCdRh | PBE-GGA | optimized geometry

Calculated values
space group = F-43m (216)
DFT total energy = -25.46 eV/f.u.
DFT formation energy = -0.38 eV/atom

a b c (Å): 4.906 4.906 4.906
angles (deg): 60.00 60.00 60.00
Sites, in units of the cell vectors:
Gd 0.000 0.000 0.000
Mg 0.500 0.500 0.500
Cd 0.750 0.750 0.750
Rh 0.250 0.250 0.250


Record 6
GdMgScCd | PBE-GGA | optimized geometry

Calculated values
space group = F-43m (216)
DFT total energy = -23.65 eV/f.u.
DFT formation energy = -0.18 eV/atom

a b c (Å): 5.205 5.205 5.205
angles (deg): 60.00 60.00 60.00
Sites, in units of the cell vectors:
Gd 0.000 0.000 0.000
Mg 0.750 0.750 0.750
Sc 0.500 0.500 0.500
Cd 0.250 0.250 0.250


Record 7
SmGdMgCd | PBE-GGA | optimized geometry

Calculated values
space group = F-43m (216)
DFT total energy = -22.19 eV/f.u.
DFT formation energy = -0.22 eV/atom

a b c (Å): 5.389 5.389 5.389
angles (deg): 60.00 60.00 60.00
Sites, in units of the cell vectors:
Sm 0.000 0.000 0.000
Gd 0.500 0.500 0.500
Mg 0.750 0.750 0.750
Cd 0.250 0.250 0.250


Record 8
GdThMgCd | PBE-GGA | optimized geometry

Calculated values
space group = F-43m (216)
DFT total energy = -24.32 eV/f.u.
DFT formation energy = -0.08 eV/atom

a b c (Å): 5.401 5.401 5.401
angles (deg): 60.00 60.00 60.00
Sites, in units of the cell vectors:
Gd 0.000 0.000 0.000
Th 0.500 0.500 0.500
Mg 0.250 0.250 0.250
Cd 0.750 0.750 0.750


Please write out number 5 again, unchanged.
GdMgCdRh | PBE-GGA | optimized geometry

Calculated values
space group = F-43m (216)
DFT total energy = -25.46 eV/f.u.
DFT formation energy = -0.38 eV/atom

a b c (Å): 4.906 4.906 4.906
angles (deg): 60.00 60.00 60.00
Sites, in units of the cell vectors:
Gd 0.000 0.000 0.000
Mg 0.500 0.500 0.500
Cd 0.750 0.750 0.750
Rh 0.250 0.250 0.250


Which value of DFT total energy does entry 5 give?
-25.46 eV/f.u.